A relaxed structure of Rb2VBr6F. Source: Alexandria, functional PBE+U.

abc: 7.558 7.558 7.558
angles: 60.00 60.00 60.00
Fractional coordinates of all 10 atoms:
Rb 0.250 0.250 0.250
Rb 0.750 0.750 0.750
V 0.000 0.000 0.000
Br 0.233 0.233 0.767
Br 0.233 0.767 0.233
Br 0.233 0.767 0.767
Br 0.767 0.233 0.233
Br 0.767 0.233 0.767
Br 0.767 0.767 0.233
F 0.500 0.500 0.500

Properties
For the density, the calculation gives 3.9 Mg/m³. Its total energy is -3.1143 eV per atom. The space-group type is No. 225.